# 1
Compound: La4Ga
Source: the Alexandria database
Functional: PBE
Structure: relaxed

Output
energy relative to the lowest polymorph listed for this composition = 134 kJ/mol of formula units
crystal system = cubic

Structure (CIF):
```
data_La4Ga
_space_group_name_H-M_alt 'P 1'
_space_group_IT_number 1
_cell_length_a 5.841
_cell_length_b 5.841
_cell_length_c 5.841
_cell_angle_alpha 90.00
_cell_angle_beta 90.00
_cell_angle_gamma 90.00
loop_
_space_group_symop_operation_xyz
'x,y,z'
loop_
_atom_site_label
_atom_site_type_symbol
_atom_site_fract_x
_atom_site_fract_y
_atom_site_fract_z
La1 La 0.500 0.000 0.500
La2 La 0.000 0.000 0.000
La3 La 0.500 0.500 0.000
La4 La 0.000 0.500 0.500
Ga1 Ga 0.500 0.500 0.500
```



# 2
Compound: RbCaTi3
Source: the Alexandria database
Functional: PBE
Structure: relaxed

Output
energy relative to the lowest polymorph listed for this composition = 0 kJ/mol of formula units
crystal system = cubic

Structure (CIF):
```
data_RbCaTi3
_space_group_name_H-M_alt 'P 1'
_space_group_IT_number 1
_cell_length_a 4.970
_cell_length_b 4.970
_cell_length_c 4.970
_cell_angle_alpha 90.00
_cell_angle_beta 90.00
_cell_angle_gamma 90.00
loop_
_space_group_symop_operation_xyz
'x,y,z'
loop_
_atom_site_label
_atom_site_type_symbol
_atom_site_fract_x
_atom_site_fract_y
_atom_site_fract_z
Ti1 Ti 0.000 0.000 0.500
Ti2 Ti 0.500 0.000 0.000
Ti3 Ti 0.000 0.500 0.000
Rb1 Rb 0.000 0.000 0.000
Ca1 Ca 0.500 0.500 0.500
```



Which of these has the lowest energy relative to the lowest polymorph listed for this composition? RbCaTi3



Copy entry 1 word for word.
Compound: La4Ga
Source: the Alexandria database
Functional: PBE
Structure: relaxed

Output
energy relative to the lowest polymorph listed for this composition = 134 kJ/mol of formula units
crystal system = cubic

Structure (CIF):
```
data_La4Ga
_space_group_name_H-M_alt 'P 1'
_space_group_IT_number 1
_cell_length_a 5.841
_cell_length_b 5.841
_cell_length_c 5.841
_cell_angle_alpha 90.00
_cell_angle_beta 90.00
_cell_angle_gamma 90.00
loop_
_space_group_symop_operation_xyz
'x,y,z'
loop_
_atom_site_label
_atom_site_type_symbol
_atom_site_fract_x
_atom_site_fract_y
_atom_site_fract_z
La1 La 0.500 0.000 0.500
La2 La 0.000 0.000 0.000
La3 La 0.500 0.500 0.000
La4 La 0.000 0.500 0.500
Ga1 Ga 0.500 0.500 0.500
```



Look up the energy relative to the lowest polymorph listed for this composition of the first one. 134 kJ/mol of formula units



What is the energy relative to the lowest polymorph listed for this composition in the first record? 134 kJ/mol of formula units